Compound: Hf12GeSb6
Source: Alexandria via LeMat-Bulk
Functional: GGA-PBE
Structure: relaxed

The value obtained for the formation energy (no corrections) is -146 meV/atom. The final energy comes out at -7.977 eV/atom. For the spin magnetization, the calculation gives 0.0000 μB per atom.

a = 11.9031 Å, b = 11.9031 Å, c = 11.2295 Å
α = 90.00°, β = 90.00°, γ = 120.00°
Closest atoms and distances in Å follow each position.
Space group R-3 (No. 148, hexagonal axes)
One atom of each set of equivalent atoms:
Hf 0.0349 0.8624 0.3805 (multiplicity 18)  4 Sb 2.88-3.20, 1 Hf 3.05
Hf 0.0678 0.8798 0.8492 (multiplicity 18)  1 Ge 2.59, 2 Sb 2.80-2.89
Ge 0.0000 0.0000 0.0000 (multiplicity 3)  6 Hf 2.59
Sb 0.0261 0.6165 0.2974 (multiplicity 18)  5 Hf 2.80-3.03